{"formula": "Pm5Nd3Cd", "functional": "PBE-GGA", "state": "relaxed", "vol_a3_per_cell": 640.30, "crystal_system": "monoclinic", "cell": [[6.962, 0.062, -0.831], [1.965, 6.679, -0.831], [1.685, 1.272, 13.492]], "species": ["Nd", "Nd", "Nd", "Nd", "Nd", "Nd", "Pm", "Pm", "Pm", "Pm", "Pm", "Pm", "Pm", "Pm", "Pm", "Pm", "Cd", "Cd"], "frac_coords": [[0.000, 0.000, 0.000], [0.000, 0.000, 0.500], [0.239, 0.239, 0.121], [0.635, 0.635, 0.490], [0.761, 0.761, 0.879], [0.365, 0.365, 0.510], [0.239, 0.239, 0.869], [0.673, 0.327, 0.000], [0.533, 0.981, 0.664], [0.327, 0.673, 0.000], [0.498, 0.498, 0.254], [0.981, 0.533, 0.664], [0.019, 0.467, 0.336], [0.502, 0.502, 0.746], [0.467, 0.019, 0.336], [0.761, 0.761, 0.131], [0.002, 0.002, 0.741], [0.998, 0.998, 0.259]]}



{"formula": "K3Pr2ScSe6", "functional": "PBE-GGA", "state": "relaxed", "vol_a3_per_cell": 363.35, "crystal_system": "monoclinic", "cell": [[7.388, -0.002, -0.002], [-3.694, 6.398, -0.002], [-1.234, -2.137, 7.691]], "species": ["Sc", "Pr", "Pr", "Se", "Se", "Se", "Se", "Se", "Se", "K", "K", "K"], "frac_coords": [[0.000, 0.000, 0.000], [0.666, 0.334, 0.000], [0.334, 0.666, 0.000], [0.931, 0.619, 0.794], [0.069, 0.381, 0.206], [0.381, 0.069, 0.206], [0.757, 0.757, 0.206], [0.243, 0.243, 0.794], [0.619, 0.931, 0.794], [0.169, 0.831, 0.500], [0.500, 0.500, 0.500], [0.831, 0.169, 0.500]]}



{"formula": "Sm2AlZn4Cu3", "functional": "PBE-GGA", "state": "relaxed", "vol_a3_per_cell": 179.98, "crystal_system": "tetragonal", "cell": [[-1.779, 3.608, -0.004], [-2.621, -1.290, 2.765], [6.853, 3.390, 8.078]], "species": ["Cu", "Cu", "Cu", "Zn", "Zn", "Zn", "Zn", "Sm", "Sm", "Al"], "frac_coords": [[0.500, 0.000, 0.862], [0.000, 0.000, 0.500], [0.000, 0.500, 0.138], [0.500, 0.500, 0.000], [0.000, 0.000, 0.000], [0.000, 0.500, 0.359], [0.500, 0.000, 0.641], [0.000, 0.500, 0.754], [0.500, 0.000, 0.246], [0.500, 0.500, 0.500]]}



Number 1: uncorrected energy -4.04 eV/atom. Number 2: uncorrected energy -5.03 eV/atom. Number 3: uncorrected energy -3.34 eV/atom.